Na2LiHf: relaxed, PBE.

abc: 6.494 6.494 6.494
angles: 103.10 103.10 123.13
Fractional coordinates of all 8 atoms:
1 Na 0.083 0.625 0.958
2 Na 0.375 0.333 0.458
3 Na 0.667 0.125 0.042
4 Na 0.875 0.917 0.542
5 Li 0.000 0.000 0.000
6 Li 0.750 0.250 0.500
7 Hf 0.250 0.750 0.500
8 Hf 0.500 0.500 0.000

The value obtained for the calculated volume is 202 Å³/cell. The calculation puts the energy above the most stable polymorph in this dataset at 0.00 kcal/mol of atoms. The calculation puts the formation enthalpy at 0 K at 904 meV/atom.